Entry from Alexandria via LeMat-Bulk: crystalline NdTh4Sc at its relaxed geometry (PBE).

Summary:
Raw total energy in eV per atom: -6.75

Lattice parameters (Å, degrees): 6.1206 3.5687 8.6550 90.00 90.35 90.00
With the nearest neighbours (Å) after each atom.
Space group P2/m (No. 10)
Symmetry-distinct sites (fractional):
Nd1 0.0000 0.0000 0.0000 (multiplicity 1)  6 Th 3.52-3.61, 4 Sc 3.54, 2 Nd 3.57
Th1 0.1703 0.5000 0.3424 (multiplicity 2)  9 Th 3.44-3.59, 1 Sc 3.60, 2 Nd 3.61
Th2 0.3381 0.0000 0.6723 (multiplicity 2)  2 Sc 3.49, 9 Th 3.50-3.59, 1 Nd 3.52
Sc1 0.5000 0.5000 0.0000 (multiplicity 1)  6 Th 3.49-3.60, 4 Nd 3.54, 2 Sc 3.57